No. 1
ThTaGe | PBE | relaxed

Computed properties:
total DFT energy (no corrections): -7.474 eV per atom
M_tot: 0.118 Bohr magnetons per cell

Unit cell a=6.609 b=6.609 c=6.609 alpha=90.00 beta=90.00 gamma=90.00
Atoms (fractional coordinates):
Th 0.000 0.000 0.000
Th 0.000 0.500 0.500
Th 0.500 0.000 0.500
Th 0.500 0.500 0.000
Ta 0.250 0.250 0.250
Ta 0.250 0.750 0.750
Ta 0.750 0.250 0.750
Ta 0.750 0.750 0.250
Ge 0.000 0.000 0.500
Ge 0.000 0.500 0.000
Ge 0.500 0.000 0.000
Ge 0.500 0.500 0.500

***

No. 2
Ho4TlOs | PBE | relaxed

Computed properties:
total DFT energy (no corrections): -5.638 eV per atom
M_tot: 0.012 Bohr magnetons per cell

Unit cell a=7.840 b=7.840 c=6.126 alpha=99.63 beta=99.63 gamma=112.36
Atoms (fractional coordinates):
Ho 0.060 0.724 0.952
Ho 0.200 0.349 0.610
Ho 0.276 0.940 0.548
Ho 0.349 0.200 0.110
Ho 0.651 0.800 0.890
Ho 0.724 0.060 0.452
Ho 0.800 0.651 0.390
Ho 0.940 0.276 0.048
Tl 0.375 0.625 0.250
Tl 0.625 0.375 0.750
Os 0.000 0.000 0.250
Os 0.000 0.000 0.750

***

No. 3
Sm2SbSe2F | PBE | relaxed

Computed properties:
total DFT energy (no corrections): -5.346 eV per atom
M_tot: 0.004 Bohr magnetons per cell

Unit cell a=4.008 b=4.008 c=8.808 alpha=90.00 beta=90.00 gamma=90.00
Atoms (fractional coordinates):
Sm 0.000 0.500 0.216
Sm 0.500 0.000 0.784
Sb 0.500 0.500 0.500
Se 0.000 0.500 0.871
Se 0.500 0.000 0.129
F 0.000 0.000 0.500

***

No. 4
RbZnSn3 | PBE | relaxed

Computed properties:
total DFT energy (no corrections): -2.988 eV per atom

Unit cell a=6.884 b=6.884 c=7.104 alpha=90.00 beta=90.00 gamma=117.18
Atoms (fractional coordinates):
Rb 0.242 0.758 0.750
Rb 0.758 0.242 0.250
Zn 0.372 0.628 0.250
Zn 0.628 0.372 0.750
Sn 0.137 0.863 0.250
Sn 0.267 0.267 0.000
Sn 0.267 0.267 0.500
Sn 0.733 0.733 0.000
Sn 0.733 0.733 0.500
Sn 0.863 0.137 0.750

***

No. 5
BaCd2Au | PBE | relaxed

Computed properties:
total DFT energy (no corrections): -2.062 eV per atom

Unit cell a=7.631 b=7.631 c=7.631 alpha=90.00 beta=90.00 gamma=90.00
Atoms (fractional coordinates):
Ba 0.000 0.000 0.000
Ba 0.000 0.500 0.500
Ba 0.500 0.000 0.500
Ba 0.500 0.500 0.000
Cd 0.000 0.000 0.500
Cd 0.000 0.500 0.000
Cd 0.250 0.250 0.750
Cd 0.250 0.750 0.250
Cd 0.500 0.000 0.000
Cd 0.500 0.500 0.500
Cd 0.750 0.250 0.250
Cd 0.750 0.750 0.750
Au 0.250 0.250 0.250
Au 0.250 0.750 0.750
Au 0.750 0.250 0.750
Au 0.750 0.750 0.250

***

No. 6
MgGaBiOs | PBE | relaxed

Computed properties:
total DFT energy (no corrections): -4.606 eV per atom
M_tot: 0.002 Bohr magnetons per cell

Unit cell a=6.670 b=6.670 c=6.670 alpha=90.00 beta=90.00 gamma=90.00
Atoms (fractional coordinates):
Mg 0.000 0.000 0.000
Mg 0.000 0.500 0.500
Mg 0.500 0.000 0.500
Mg 0.500 0.500 0.000
Ga 0.250 0.250 0.750
Ga 0.250 0.750 0.250
Ga 0.750 0.250 0.250
Ga 0.750 0.750 0.750
Bi 0.250 0.250 0.250
Bi 0.250 0.750 0.750
Bi 0.750 0.250 0.750
Bi 0.750 0.750 0.250
Os 0.000 0.000 0.500
Os 0.000 0.500 0.000
Os 0.500 0.000 0.000
Os 0.500 0.500 0.500

***

No. 7
Pr2CdHgAs2O2 | PBE | relaxed

Computed properties:
total DFT energy (no corrections): -5.368 eV per atom
M_tot: 0.005 Bohr magnetons per cell

Unit cell a=4.212 b=4.212 c=9.195 alpha=90.00 beta=90.00 gamma=90.00
Atoms (fractional coordinates):
Pr 0.000 0.500 0.124
Pr 0.500 0.000 0.876
Cd 0.500 0.500 0.500
Hg 0.000 0.000 0.500
As 0.000 0.500 0.701
As 0.500 0.000 0.299
O 0.000 0.000 0.000
O 0.500 0.500 0.000

***

No. 8
NbSb4P | PBE | relaxed

Computed properties:
total DFT energy (no corrections): -5.322 eV per atom
M_tot: 0.011 Bohr magnetons per cell

Unit cell a=10.679 b=3.831 c=8.575 alpha=90.00 beta=126.03 gamma=90.00
Atoms (fractional coordinates):
Nb 0.000 0.000 0.000
Nb 0.500 0.500 0.000
Sb 0.165 0.500 0.599
Sb 0.226 0.500 0.278
Sb 0.276 0.000 0.981
Sb 0.442 0.000 0.707
Sb 0.665 0.000 0.599
Sb 0.726 0.000 0.278
Sb 0.776 0.500 0.981
Sb 0.942 0.500 0.707
P 0.477 0.500 0.283
P 0.977 0.000 0.283

***

No. 9
ErTeAuO | PBE | relaxed

Computed properties:
total DFT energy (no corrections): -5.569 eV per atom
M_tot: 0.000 Bohr magnetons per cell

Unit cell a=7.823 b=6.266 c=6.203 alpha=90.00 beta=90.65 gamma=90.00
Atoms (fractional coordinates):
Er 0.091 0.013 0.250
Er 0.091 0.487 0.750
Er 0.909 0.513 0.250
Er 0.909 0.987 0.750
Te 0.312 0.574 0.197
Te 0.312 0.926 0.697
Te 0.688 0.074 0.303
Te 0.688 0.426 0.803
Au 0.401 0.202 0.998
Au 0.401 0.298 0.498
Au 0.599 0.702 0.502
Au 0.599 0.798 0.002
O 0.007 0.241 0.998
O 0.007 0.259 0.498
O 0.993 0.741 0.502
O 0.993 0.759 0.002

***

No. 10
YTlCoW | PBE | relaxed

Computed properties:
total DFT energy (no corrections): -6.469 eV per atom
M_tot: 12.013 Bohr magnetons per cell

Unit cell a=6.782 b=6.782 c=6.782 alpha=90.00 beta=90.00 gamma=90.00
Atoms (fractional coordinates):
Y 0.000 0.000 0.000
Y 0.000 0.500 0.500
Y 0.500 0.000 0.500
Y 0.500 0.500 0.000
Tl 0.000 0.000 0.500
Tl 0.000 0.500 0.000
Tl 0.500 0.000 0.000
Tl 0.500 0.500 0.500
Co 0.250 0.250 0.750
Co 0.250 0.750 0.250
Co 0.750 0.250 0.250
Co 0.750 0.750 0.750
W 0.250 0.250 0.250
W 0.250 0.750 0.750
W 0.750 0.250 0.750
W 0.750 0.750 0.250

***

No. 11
LaAgGeSeS2 | PBE | relaxed

Computed properties:
total DFT energy (no corrections): -4.855 eV per atom
M_tot: 0.009 Bohr magnetons per cell

Unit cell a=6.746 b=6.746 c=11.275 alpha=90.00 beta=90.00 gamma=145.37
Atoms (fractional coordinates):
La 0.000 0.000 0.000
La 0.000 0.000 0.500
Ag 0.480 0.520 0.750
Ag 0.520 0.480 0.250
Ge 0.223 0.777 0.250
Ge 0.777 0.223 0.750
Se 0.117 0.883 0.750
Se 0.883 0.117 0.250
S 0.357 0.643 0.579
S 0.357 0.643 0.921
S 0.643 0.357 0.079
S 0.643 0.357 0.421

***

No. 12
NaNdMgSe3 | PBE | relaxed

Computed properties:
total DFT energy (no corrections): -4.484 eV per atom
M_tot: 0.006 Bohr magnetons per cell

Unit cell a=12.032 b=4.295 c=12.253 alpha=90.00 beta=90.00 gamma=90.00
Atoms (fractional coordinates):
Na 0.141 0.250 0.006
Na 0.359 0.750 0.506
Na 0.641 0.250 0.494
Na 0.859 0.750 0.994
Nd 0.026 0.250 0.673
Nd 0.474 0.750 0.173
Nd 0.526 0.250 0.827
Nd 0.974 0.750 0.327
Mg 0.242 0.250 0.286
Mg 0.258 0.750 0.786
Mg 0.742 0.250 0.214
Mg 0.758 0.750 0.714
Se 0.056 0.750 0.844
Se 0.102 0.250 0.438
Se 0.215 0.750 0.174
Se 0.285 0.250 0.674
Se 0.398 0.750 0.938
Se 0.444 0.250 0.344
Se 0.556 0.750 0.656
Se 0.602 0.250 0.062
Se 0.715 0.750 0.326
Se 0.785 0.250 0.826
Se 0.898 0.750 0.562
Se 0.944 0.250 0.156

***

No. 13
BaDy2Si3O10 | PBE | relaxed

Computed properties:
total DFT energy (no corrections): -7.974 eV per atom
M_tot: 0.008 Bohr magnetons per cell

Unit cell a=5.394 b=12.134 c=6.865 alpha=90.00 beta=106.52 gamma=90.00
Atoms (fractional coordinates):
Ba 0.241 0.250 0.479
Ba 0.759 0.750 0.521
Dy 0.158 0.599 0.185
Dy 0.158 0.901 0.185
Dy 0.842 0.099 0.815
Dy 0.842 0.401 0.815
Si 0.304 0.562 0.713
Si 0.304 0.938 0.713
Si 0.414 0.250 0.010
Si 0.586 0.750 0.990
Si 0.696 0.062 0.287
Si 0.696 0.438 0.287
O 0.099 0.553 0.851
O 0.099 0.947 0.851
O 0.119 0.250 0.862
O 0.165 0.625 0.503
O 0.165 0.875 0.503
O 0.372 0.750 0.114
O 0.429 0.057 0.688
O 0.429 0.443 0.688
O 0.445 0.141 0.160
O 0.445 0.359 0.160
O 0.555 0.641 0.840
O 0.555 0.859 0.840
O 0.571 0.557 0.312
O 0.571 0.943 0.312
O 0.628 0.250 0.886
O 0.835 0.125 0.497
O 0.835 0.375 0.497
O 0.881 0.750 0.138
O 0.901 0.053 0.149
O 0.901 0.447 0.149

***

No. 14
TmTlCuTe3 | PBE | relaxed

Computed properties:
total DFT energy (no corrections): -4.002 eV per atom
M_tot: 0.010 Bohr magnetons per cell

Unit cell a=11.343 b=4.158 c=15.514 alpha=90.00 beta=90.00 gamma=90.00
Atoms (fractional coordinates):
Tm 0.019 0.250 0.242
Tm 0.481 0.750 0.742
Tm 0.519 0.250 0.258
Tm 0.981 0.750 0.758
Tl 0.220 0.750 0.503
Tl 0.280 0.250 0.003
Tl 0.720 0.750 0.997
Tl 0.780 0.250 0.497
Cu 0.238 0.250 0.717
Cu 0.262 0.750 0.217
Cu 0.738 0.250 0.783
Cu 0.762 0.750 0.283
Te 0.045 0.250 0.623
Te 0.084 0.750 0.111
Te 0.235 0.750 0.822
Te 0.265 0.250 0.322
Te 0.416 0.250 0.611
Te 0.455 0.750 0.123
Te 0.545 0.250 0.877
Te 0.584 0.750 0.389
Te 0.735 0.750 0.678
Te 0.765 0.250 0.178
Te 0.916 0.250 0.889
Te 0.955 0.750 0.377

***

No. 15
BeAgSO | PBE | relaxed

Computed properties:
total DFT energy (no corrections): -4.861 eV per atom

Unit cell a=5.082 b=5.958 c=7.560 alpha=90.00 beta=90.00 gamma=90.00
Atoms (fractional coordinates):
Be 0.084 0.177 0.068
Be 0.416 0.823 0.568
Be 0.584 0.323 0.932
Be 0.916 0.677 0.432
Ag 0.049 0.688 0.840
Ag 0.451 0.312 0.340
Ag 0.549 0.812 0.160
Ag 0.951 0.188 0.660
S 0.051 0.818 0.144
S 0.449 0.182 0.644
S 0.551 0.682 0.856
S 0.949 0.318 0.356
O 0.125 0.754 0.562
O 0.375 0.246 0.062
O 0.625 0.746 0.438
O 0.875 0.254 0.938

***

No. 16
TaS | PBE | relaxed

Computed properties:
total DFT energy (no corrections): -8.014 eV per atom
M_tot: 0.068 Bohr magnetons per cell

Unit cell a=5.474 b=5.474 c=5.474 alpha=90.00 beta=90.00 gamma=90.00
Atoms (fractional coordinates):
Ta 0.000 0.000 0.000
Ta 0.000 0.500 0.500
Ta 0.500 0.000 0.500
Ta 0.500 0.500 0.000
S 0.250 0.250 0.250
S 0.250 0.750 0.750
S 0.750 0.250 0.750
S 0.750 0.750 0.250

***

No. 17
FeHgB | PBE | relaxed

Computed properties:
total DFT energy (no corrections): -4.281 eV per atom
M_tot: 5.383 Bohr magnetons per cell

Unit cell a=5.366 b=5.366 c=5.366 alpha=90.00 beta=90.00 gamma=90.00
Atoms (fractional coordinates):
Fe 0.000 0.000 0.000
Fe 0.000 0.500 0.500
Fe 0.500 0.000 0.500
Fe 0.500 0.500 0.000
Hg 0.000 0.000 0.500
Hg 0.000 0.500 0.000
Hg 0.500 0.000 0.000
Hg 0.500 0.500 0.500
B 0.250 0.250 0.250
B 0.250 0.750 0.750
B 0.750 0.250 0.750
B 0.750 0.750 0.250

***

No. 18
Sm2DySn3PdPt2 | PBE | relaxed

Computed properties:
total DFT energy (no corrections): -5.852 eV per atom
M_tot: 0.007 Bohr magnetons per cell

Unit cell a=4.078 b=7.567 c=7.567 alpha=119.80 beta=90.00 gamma=90.00
Atoms (fractional coordinates):
Sm 0.000 0.206 0.794
Sm 0.000 0.794 0.206
Dy 0.000 0.616 0.616
Sn 0.500 0.206 0.461
Sn 0.500 0.461 0.206
Sn 0.500 0.952 0.952
Pd 0.000 0.209 0.209
Pt 0.500 0.541 0.868
Pt 0.500 0.868 0.541

***

No. 19
NbIn2N | PBE | relaxed

Computed properties:
total DFT energy (no corrections): -5.633 eV per atom
M_tot: 0.004 Bohr magnetons per cell

Unit cell a=3.198 b=3.198 c=15.274 alpha=90.00 beta=90.00 gamma=120.00
Atoms (fractional coordinates):
Nb 0.333 0.667 0.250
Nb 0.667 0.333 0.750
In 0.333 0.667 0.593
In 0.333 0.667 0.907
In 0.667 0.333 0.093
In 0.667 0.333 0.407
N 0.000 0.000 0.000
N 0.000 0.000 0.500

***

No. 20
LiCuAsPt | PBE | relaxed

Computed properties:
total DFT energy (no corrections): -4.405 eV per atom
M_tot: 0.004 Bohr magnetons per cell

Unit cell a=6.083 b=6.083 c=6.083 alpha=90.00 beta=90.00 gamma=90.00
Atoms (fractional coordinates):
Li 0.000 0.000 0.000
Li 0.000 0.500 0.500
Li 0.500 0.000 0.500
Li 0.500 0.500 0.000
Cu 0.250 0.250 0.750
Cu 0.250 0.750 0.250
Cu 0.750 0.250 0.250
Cu 0.750 0.750 0.750
As 0.000 0.000 0.500
As 0.000 0.500 0.000
As 0.500 0.000 0.000
As 0.500 0.500 0.500
Pt 0.250 0.250 0.250
Pt 0.250 0.750 0.750
Pt 0.750 0.250 0.750
Pt 0.750 0.750 0.250

***

No. 21
AcRe | PBE | relaxed

Computed properties:
total DFT energy (no corrections): -6.066 eV per atom
M_tot: 8.000 Bohr magnetons per cell

Unit cell a=6.520 b=6.520 c=6.520 alpha=90.00 beta=90.00 gamma=90.00
Atoms (fractional coordinates):
Ac 0.000 0.000 0.000
Ac 0.000 0.500 0.500
Ac 0.500 0.000 0.500
Ac 0.500 0.500 0.000
Re 0.250 0.250 0.750
Re 0.250 0.750 0.250
Re 0.750 0.250 0.250
Re 0.750 0.750 0.750

***

No. 22
SrMgNbCo | PBE | relaxed

Computed properties:
total DFT energy (no corrections): -4.385 eV per atom
M_tot: 0.006 Bohr magnetons per cell

Unit cell a=6.868 b=6.868 c=6.868 alpha=90.00 beta=90.00 gamma=90.00
Atoms (fractional coordinates):
Sr 0.000 0.000 0.000
Sr 0.000 0.500 0.500
Sr 0.500 0.000 0.500
Sr 0.500 0.500 0.000
Mg 0.250 0.250 0.250
Mg 0.250 0.750 0.750
Mg 0.750 0.250 0.750
Mg 0.750 0.750 0.250
Nb 0.000 0.000 0.500
Nb 0.000 0.500 0.000
Nb 0.500 0.000 0.000
Nb 0.500 0.500 0.500
Co 0.250 0.250 0.750
Co 0.250 0.750 0.250
Co 0.750 0.250 0.250
Co 0.750 0.750 0.750

***

No. 23
TbHoH4 | PBE | relaxed

Computed properties:
total DFT energy (no corrections): -4.479 eV per atom
M_tot: 0.001 Bohr magnetons per cell

Unit cell a=3.653 b=3.653 c=5.158 alpha=90.00 beta=90.00 gamma=90.00
Atoms (fractional coordinates):
Tb 0.000 0.000 0.000
Ho 0.500 0.500 0.500
H 0.000 0.500 0.254
H 0.000 0.500 0.746
H 0.500 0.000 0.254
H 0.500 0.000 0.746